--- a ---
# LiAlZn, optimized geometry, DFT GGA-PBE
data_LiAlZn
_chemical_formula_sum 'Li2 Al2 Zn2'
_space_group_name_H-M_alt 'I m m 2'
_space_group_IT_number 44
_space_group_name_Hall 'I 2 -2'
_cell_length_a 2.915
_cell_length_b 4.479
_cell_length_c 7.433
_cell_angle_alpha 90.00
_cell_angle_beta 90.00
_cell_angle_gamma 90.00
loop_
_atom_site_label
_atom_site_type_symbol
_atom_site_fract_x
_atom_site_fract_y
_atom_site_fract_z
Li1 Li 0.000 0.000 0.000
Al1 Al 0.000 0.000 0.620
Zn1 Zn 0.000 0.500 0.809
# M_tot ... 0.00 μB per formula unit

--- b ---
# LiAlZn, optimized geometry, DFT GGA-PBE
data_LiAlZn
_chemical_formula_sum 'Li1 Al1 Zn1'
_space_group_name_H-M_alt 'P 3 m 1'
_space_group_IT_number 156
_space_group_name_Hall 'P 3 -2"'
_cell_length_a 4.3853
_cell_length_b 4.3853
_cell_length_c 2.9144
_cell_angle_alpha 90.00
_cell_angle_beta 90.00
_cell_angle_gamma 120.00
loop_
_atom_site_label
_atom_site_type_symbol
_atom_site_fract_x
_atom_site_fract_y
_atom_site_fract_z
Li1 Li 0.0000 0.0000 0.0000
Al1 Al 0.3333 0.6667 0.5478
Zn1 Zn 0.6667 0.3333 0.4122
# M_tot ... 0.00 μB per formula unit

Ranked by calculated energy, most stable first: b, a.

--- a ---
# BeTlCr2, optimized geometry, DFT GGA-PBE
data_BeTlCr2
_chemical_formula_sum 'Be2 Tl2 Cr4'
_space_group_name_H-M_alt 'C 1 2/m 1'
_space_group_IT_number 12
_space_group_name_Hall '-C 2y'
_cell_length_a 5.019
_cell_length_b 8.439
_cell_length_c 2.731
_cell_angle_alpha 90.00
_cell_angle_beta 102.39
_cell_angle_gamma 90.00
loop_
_atom_site_label
_atom_site_type_symbol
_atom_site_fract_x
_atom_site_fract_y
_atom_site_fract_z
Be1 Be 0.000 0.000 0.000
Tl1 Tl 0.000 0.500 0.000
Cr1 Cr 0.250 0.250 0.500
# M_tot ... 1.45 μB per formula unit

--- b ---
# BeTlCr2, optimized geometry, DFT GGA-PBE
data_BeTlCr2
_chemical_formula_sum 'Be1 Tl1 Cr2'
_space_group_name_H-M_alt 'P m m m'
_space_group_IT_number 47
_space_group_name_Hall '-P 2 2'
_cell_length_a 3.396
_cell_length_b 4.011
_cell_length_c 4.354
_cell_angle_alpha 90.00
_cell_angle_beta 90.00
_cell_angle_gamma 90.00
loop_
_atom_site_label
_atom_site_type_symbol
_atom_site_fract_x
_atom_site_fract_y
_atom_site_fract_z
Be1 Be 0.000 0.000 0.000
Tl1 Tl 0.500 0.500 0.000
Cr1 Cr 0.000 0.500 0.500
Cr2 Cr 0.500 0.000 0.500
# M_tot ... 0.04 μB per formula unit

Ranked by calculated energy, most stable first: b, a.

--- a ---
# CdReSe2, optimized geometry, DFT GGA-PBE
data_CdReSe2
_chemical_formula_sum 'Cd2 Re2 Se4'
_space_group_name_H-M_alt 'I m m 2'
_space_group_IT_number 44
_space_group_name_Hall 'I 2 -2'
_cell_length_a 3.054
_cell_length_b 4.092
_cell_length_c 13.461
_cell_angle_alpha 90.00
_cell_angle_beta 90.00
_cell_angle_gamma 90.00
loop_
_atom_site_label
_atom_site_type_symbol
_atom_site_fract_x
_atom_site_fract_y
_atom_site_fract_z
Cd1 Cd 0.000 0.000 0.000
Re1 Re 0.000 0.500 0.285
Se1 Se 0.000 0.000 0.639
Se2 Se 0.000 0.500 0.841
# M_tot ... 0.00 μB per formula unit

--- b ---
# CdReSe2, optimized geometry, DFT GGA-PBE
data_CdReSe2
_chemical_formula_sum 'Cd1 Re1 Se2'
_space_group_name_H-M_alt 'P 4/m m m'
_space_group_IT_number 123
_space_group_name_Hall '-P 4 2'
_cell_length_a 3.050
_cell_length_b 3.050
_cell_length_c 9.424
_cell_angle_alpha 90.00
_cell_angle_beta 90.00
_cell_angle_gamma 90.00
loop_
_atom_site_label
_atom_site_type_symbol
_atom_site_fract_x
_atom_site_fract_y
_atom_site_fract_z
Cd1 Cd 0.000 0.000 0.000
Re1 Re 0.000 0.000 0.500
Se1 Se 0.500 0.500 0.334
# M_tot ... 0.00 μB per formula unit

Ranked by calculated energy, most stable first: b, a.

--- a ---
# InSiOs2, optimized geometry, DFT GGA-PBE
data_InSiOs2
_chemical_formula_sum 'In2 Si2 Os4'
_space_group_name_H-M_alt 'C m m m'
_space_group_IT_number 65
_space_group_name_Hall '-C 2 2'
_cell_length_a 2.943
_cell_length_b 5.015
_cell_length_c 8.588
_cell_angle_alpha 90.00
_cell_angle_beta 90.00
_cell_angle_gamma 90.00
loop_
_atom_site_label
_atom_site_type_symbol
_atom_site_fract_x
_atom_site_fract_y
_atom_site_fract_z
In1 In 0.000 0.000 0.000
Si1 Si 0.000 0.000 0.500
Os1 Os 0.000 0.500 0.283
# M_tot ... 0.00 μB per formula unit

--- b ---
# InSiOs2, optimized geometry, DFT GGA-PBE
data_InSiOs2
_chemical_formula_sum 'In2 Si2 Os4'
_space_group_name_H-M_alt 'I m m 2'
_space_group_IT_number 44
_space_group_name_Hall 'I 2 -2'
_cell_length_a 3.018
_cell_length_b 4.114
_cell_length_c 10.236
_cell_angle_alpha 90.00
_cell_angle_beta 90.00
_cell_angle_gamma 90.00
loop_
_atom_site_label
_atom_site_type_symbol
_atom_site_fract_x
_atom_site_fract_y
_atom_site_fract_z
In1 In 0.000 0.000 0.000
Si1 Si 0.000 0.500 0.255
Os1 Os 0.000 0.000 0.574
Os2 Os 0.000 0.500 0.807
# M_tot ... 0.00 μB per formula unit

Ranked by calculated energy, most stable first: a, b.